Entry 1:
Ac2TlCl | Alexandria via LeMat-Bulk | PBE-GGA | relaxed; ΔE_f (raw) = -3.246 eV per formula unit; density = 9.01 Mg/m³; offset from the most stable computed form = 61 meV/atom; E = -0.144 hartree per atom; N(E_F) = 2.3 states/eV/f.u.; crystal system = tetragonal
1.0
3.862 0.000 0.000
0.000 3.862 0.000
0.000 0.000 8.569
Ac Tl Cl
2 1 1
direct
0.000 0.000 0.250
0.000 0.000 0.750
0.500 0.500 0.000
0.500 0.500 0.500

---

Entry 2:
LiRh3 | Alexandria via LeMat-Bulk | PBE-GGA | relaxed; ΔH_f (0 K) = -136 meV/atom; density = 9.60 Mg/m³; E = -0.225 hartree per atom; N(E_F) = 3.4 states/eV/f.u.; crystal system = orthorhombic
1.0
-1.341 4.335 2.347
1.341 -4.335 2.347
1.341 4.335 -2.347
Li Rh
1 3
direct
0.000 0.000 0.000
0.436 0.681 0.755
0.492 0.992 0.500
0.927 0.681 0.245

---

Entry 3:
FeTcPb2 | Alexandria via LeMat-Bulk | PBE-GGA | relaxed; ΔH_f (0 K) = 790 meV/atom; density = 11.88 Mg/m³; offset from the most stable computed form = 442 meV/atom; E = -0.212 hartree per atom; N(E_F) = 3.8 states/eV/f.u.; crystal system = monoclinic
1.0
4.379 -1.669 0.000
4.379 1.669 0.000
-1.180 0.000 5.435
Fe Tc Pb
1 1 2
direct
0.000 0.000 0.000
0.500 0.500 0.500
0.249 0.249 0.750
0.751 0.751 0.250

---

Entry 4:
BI2F | Alexandria via LeMat-Bulk | PBE-GGA | relaxed; ΔE_f (raw) = 3.341 eV per formula unit; density = 6.06 Mg/m³; offset from the most stable computed form = 857 meV/atom; E = -0.076 hartree per atom; N(E_F) = 4.4 states/eV/f.u.; crystal system = cubic
1.0
0.000 3.386 3.386
3.386 0.000 3.386
3.386 3.386 0.000
B I F
1 2 1
direct
0.000 0.000 0.000
0.250 0.250 0.250
0.750 0.750 0.750
0.500 0.500 0.500

---

Entry 5:
Pa3CdH4O12 | Alexandria via LeMat-Bulk | PBE-GGA | relaxed; density = 6.69 Mg/m³; E = -0.257 hartree per atom; N(E_F) = 14.8 states/eV/f.u.; crystal system = trigonal
1.0
5.076 2.931 2.787
-5.076 2.931 2.787
0.000 -5.861 2.787
Pa Cd H O
3 1 4 12
direct
0.000 0.539 0.461
0.461 0.000 0.539
0.539 0.461 0.000
0.000 0.000 0.000
0.101 0.500 0.899
0.500 0.500 0.500
0.500 0.899 0.101
0.899 0.101 0.500
0.030 0.627 0.805
0.117 0.883 0.500
0.195 0.373 0.970
0.363 0.637 0.500
0.373 0.970 0.195
0.500 0.117 0.883
0.500 0.363 0.637
0.627 0.805 0.030
0.637 0.500 0.363
0.805 0.030 0.627
0.883 0.500 0.117
0.970 0.195 0.373

---

Entry 6:
Ac2Co3B12Os | Alexandria via LeMat-Bulk | PBE-GGA | relaxed; ΔH_f (0 K) = 115 meV/atom; density = 7.15 Mg/m³; E = -0.243 hartree per atom; N(E_F) = 10.3 states/eV/f.u.; crystal system = trigonal
1.0
3.020 1.744 6.992
-3.020 1.744 6.992
0.000 -3.488 6.992
Ac Co B Os
2 3 12 1
direct
0.123 0.123 0.123
0.877 0.877 0.877
0.000 0.500 0.500
0.500 0.000 0.500
0.500 0.500 0.000
0.124 0.586 0.586
0.169 0.169 0.458
0.169 0.458 0.169
0.414 0.414 0.876
0.414 0.876 0.414
0.458 0.169 0.169
0.542 0.831 0.831
0.586 0.124 0.586
0.586 0.586 0.124
0.831 0.542 0.831
0.831 0.831 0.542
0.876 0.414 0.414
0.500 0.500 0.500

---

Entry 7:
BTe2AsI | Alexandria via LeMat-Bulk | PBE-GGA | relaxed; ΔE_f (raw) = 4.465 eV per formula unit; density = 6.50 Mg/m³; offset from the most stable computed form = 0 meV/atom; E = -0.108 hartree per atom; N(E_F) = 3.6 states/eV/f.u.; crystal system = tetragonal
1.0
4.985 0.000 0.000
0.000 4.985 0.000
0.000 0.000 4.809
B Te As I
1 2 1 1
direct
0.000 0.000 0.000
0.000 0.500 0.000
0.500 0.000 0.000
0.500 0.500 0.500
0.000 0.000 0.500

---

Entry 8:
Sc2NO | Alexandria via LeMat-Bulk | PBE-GGA | relaxed; ΔE_f (raw) = -9.512 eV per formula unit; density = 4.29 Mg/m³; offset from the most stable computed form = 139 meV/atom; E = -0.326 hartree per atom; N(E_F) = 1.7 states/eV/f.u.; crystal system = trigonal
1.0
1.566 0.904 5.462
-1.566 0.904 5.462
0.000 -1.808 5.462
Sc N O
2 1 1
direct
0.000 0.000 0.000
0.181 0.181 0.181
0.588 0.588 0.588
0.760 0.760 0.760